1.
# Ti7Al2C2

Ti7Al2C2 after structural relaxation (PBE-GGA, Alexandria via LeMat-Bulk).

Unit cell a=5.547 b=5.547 c=5.593 alpha=90.00 beta=90.00 gamma=105.56
Atoms (fractional coordinates):
Ti  0.000  0.000  0.000
Ti  0.000  0.500  0.236
Ti  0.000  0.500  0.764
Ti  0.500  0.000  0.236
Ti  0.500  0.000  0.764
Ti  0.500  0.500  0.232
Ti  0.500  0.500  0.768
Al  0.179  0.179  0.500
Al  0.821  0.821  0.500
C  0.274  0.726  0.000
C  0.726  0.274  0.000

## Properties
As for the density of states at the Fermi level: 8.84 states/eV per cell. For the total moment, the calculation gives 0.0002 μB per atom. The value obtained for the calculated formation energy is -222.5 meV/atom. The space group is Cmmm (65). The energy comes out at -83.64 eV per cell.

---

2.
# TiAlC2

TiAlC2 after structural relaxation (PBE-GGA, Alexandria via LeMat-Bulk).

Unit cell a=4.896 b=4.896 c=4.896 alpha=113.62 beta=113.62 gamma=101.46
Atoms (fractional coordinates):
Ti  0.000  0.000  0.000
Ti  0.750  0.250  0.500
Al  0.250  0.750  0.500
Al  0.500  0.500  0.000
C  0.135  0.625  0.010
C  0.375  0.385  0.510
C  0.615  0.125  0.990
C  0.875  0.865  0.490

## Properties
As for the density of states at the Fermi level: 1.45 states/eV per cell. For the total moment, the calculation gives 0.0000 μB per atom. The value obtained for the calculated formation energy is 231.1 meV/atom. The space group is I-42d (122). The energy comes out at -58.32 eV per cell.

---

3.
# TiAlC3

TiAlC3 after structural relaxation (PBE-GGA, Alexandria via LeMat-Bulk).

Unit cell a=4.025 b=4.025 c=4.025 alpha=90.00 beta=90.00 gamma=90.00
Atoms (fractional coordinates):
Ti  0.000  0.000  0.000
Al  0.500  0.500  0.500
C  0.000  0.000  0.500
C  0.000  0.500  0.000
C  0.500  0.000  0.000

## Properties
As for the density of states at the Fermi level: 2.66 states/eV per cell. For the total moment, the calculation gives 0.0000 μB per atom. The value obtained for the calculated formation energy is 1806.5 meV/atom. The space group is Pm-3m (221). The energy comes out at -30.28 eV per cell.

---

4.
# Ti8AlC2

Ti8AlC2 after structural relaxation (PBE-GGA, Alexandria via LeMat-Bulk).

Unit cell a=6.375 b=6.375 c=4.313 alpha=95.71 beta=95.71 gamma=114.10
Atoms (fractional coordinates):
Ti  0.088  0.088  0.800
Ti  0.167  0.428  0.443
Ti  0.244  0.756  0.000
Ti  0.428  0.167  0.443
Ti  0.572  0.833  0.557
Ti  0.756  0.244  0.000
Ti  0.833  0.572  0.557
Ti  0.912  0.912  0.200
Al  0.500  0.500  0.000
C  0.195  0.805  0.500
C  0.805  0.195  0.500

## Properties
As for the density of states at the Fermi level: 9.59 states/eV per cell. For the total moment, the calculation gives 0.0000 μB per atom. The value obtained for the calculated formation energy is -280.1 meV/atom. The space group is C2/m (12). The energy comes out at -88.43 eV per cell.

---

Please write out number 4 again, unchanged.
# Ti8AlC2

Ti8AlC2 after structural relaxation (PBE-GGA, Alexandria via LeMat-Bulk).

Unit cell a=6.375 b=6.375 c=4.313 alpha=95.71 beta=95.71 gamma=114.10
Atoms (fractional coordinates):
Ti  0.088  0.088  0.800
Ti  0.167  0.428  0.443
Ti  0.244  0.756  0.000
Ti  0.428  0.167  0.443
Ti  0.572  0.833  0.557
Ti  0.756  0.244  0.000
Ti  0.833  0.572  0.557
Ti  0.912  0.912  0.200
Al  0.500  0.500  0.000
C  0.195  0.805  0.500
C  0.805  0.195  0.500

## Properties
As for the density of states at the Fermi level: 9.59 states/eV per cell. For the total moment, the calculation gives 0.0000 μB per atom. The value obtained for the calculated formation energy is -280.1 meV/atom. The space group is C2/m (12). The energy comes out at -88.43 eV per cell.

---

- Among the records above, which one has the highest total moment?
  Ti7Al2C2

---

- Which formula does entry 2 have?
  TiAlC2

---

- Which formula does entry 1 have?
  Ti7Al2C2